8
Lattice="5.058 0.000 0.000 0.000 6.755 0.000 0.000 0.000 6.082" Properties=species:S:1:pos:R:3 comment="Y3Fe | the Alexandria database | PBE | relaxed" space_group="Pmmn, No. 59" formation_energy_mev_per_atom=265 rho_g_cm3=5.16 final_energy_ev_per_atom=-6.70 pbc="T T T"
Y 1.264 0.044 0.995
Y 1.264 1.689 3.766
Y 1.264 3.334 0.995
Y 3.793 3.422 5.086
Y 3.793 5.066 2.316
Y 3.793 6.711 5.086
Fe 1.264 5.066 4.158
Fe 3.793 1.689 1.924